1.
A plane-wave DFT calculation with PBE-GGA was carried out for an optimized crystal structure of SmZn2Cd3.

abc: 4.600 9.109 7.330
angles: 118.43 90.00 104.62
Sites, in units of the cell vectors:
Zn: 0.515 0.030 0.187
Zn: 0.235 0.471 0.808
Zn: 0.485 0.970 0.813
Zn: 0.765 0.529 0.192
Sm: 0.880 0.759 0.947
Sm: 0.120 0.241 0.053
Cd: 0.632 0.263 0.758
Cd: 0.068 0.135 0.435
Cd: 0.693 0.386 0.452
Cd: 0.307 0.614 0.548
Cd: 0.368 0.737 0.242
Cd: 0.932 0.865 0.565

## Properties
spin magnetization = 0.0 Bohr magnetons per cell
raw total energy = -1.882 eV/atom
density of states at the Fermi level = 0.435 states/eV per atom
space-group type = C2/m (12)
theoretical density = 7.94 g/cm³

2.
A plane-wave DFT calculation with PBE-GGA was carried out for an optimized crystal structure of Dy2YGa4.

abc: 4.130 4.254 9.591
angles: 102.81 102.43 90.00
Sites, in units of the cell vectors:
Dy: 0.185 0.185 0.370
Dy: 0.815 0.815 0.630
Ga: 0.353 0.353 0.707
Ga: 0.933 0.433 0.866
Ga: 0.647 0.647 0.293
Ga: 0.067 0.567 0.134
Y: 0.500 0.000 0.000

## Properties
spin magnetization = 0.0 Bohr magnetons per cell
raw total energy = -4.610 eV/atom
density of states at the Fermi level = 0.740 states/eV per atom
space-group type = Immm (71)
theoretical density = 7.18 g/cm³

3.
A plane-wave DFT calculation with PBE-GGA was carried out for an optimized crystal structure of CrAs3Se.

abc: 4.634 4.634 4.634
angles: 90.00 90.00 90.00
Sites, in units of the cell vectors:
As: 0.000 0.000 0.500
As: 0.000 0.500 0.000
As: 0.500 0.000 0.000
Se: 0.500 0.500 0.500
Cr: 0.000 0.000 0.000

## Properties
spin magnetization = 0.0 Bohr magnetons per cell
density of states at the Fermi level = 0.433 states/eV per atom
space-group type = Pm-3m (221)
theoretical density = 5.93 g/cm³
energy relative to the elements, uncorrected = 0.31 eV per atom
energy relative to the lowest polymorph listed for this composition = 0.000 kcal/mol of atoms

4.
A plane-wave DFT calculation with PBE-GGA was carried out for an optimized crystal structure of CrGe2H.

abc: 4.182 4.182 4.182
angles: 60.00 60.00 60.00
Sites, in units of the cell vectors:
H: 0.000 0.000 0.000
Ge: 0.250 0.250 0.250
Ge: 0.750 0.750 0.750
Cr: 0.500 0.500 0.500

## Properties
spin magnetization = 0.0 Bohr magnetons per cell
density of states at the Fermi level = 1.347 states/eV per atom
space-group type = Fm-3m (225)
theoretical density = 6.37 g/cm³
energy relative to the lowest polymorph listed for this composition = 9.426 kcal/mol of atoms

Q: Which formula does entry 1 have?
A: SmZn2Cd3

Q: The highest theoretical density belongs to which entry?
A: SmZn2Cd3